(i)
A relaxed TlCoIrW crystal. Source: OQMD, functional PBE.

It has space group F-43m (No. 216), with a = 6.3264 Å, b = 6.3264 Å, c = 6.3264 Å, α = 90.00°, β = 90.00° and γ = 90.00°. The inequivalent atoms are Tl at (0.0000, 0.0000, 0.0000), Co at (0.2500, 0.2500, 0.2500), Ir at (0.0000, 0.0000, 0.5000) and W at (0.2500, 0.2500, 0.7500).

Its size of the total moment is 0.0 μB per cell.


(ii)
A relaxed TlCoIrW crystal. Source: OQMD, functional PBE.

It has space group F-43m (No. 216), with a = 6.3364 Å, b = 6.3364 Å, c = 6.3364 Å, α = 90.00°, β = 90.00° and γ = 90.00°. The inequivalent atoms are Tl at (0.0000, 0.0000, 0.0000), Co at (0.2500, 0.2500, 0.2500), Ir at (0.2500, 0.2500, 0.7500) and W at (0.0000, 0.0000, 0.5000).

Its size of the total moment is 8.6 μB per cell.


Which structure is the least stable? The one labeled (i).


(i)
A relaxed KCo crystal. Source: OQMD, functional PBE.

It has space group Pmma (No. 51), with a = 3.8266 Å, b = 4.6034 Å, c = 7.0887 Å, α = 90.00°, β = 90.00° and γ = 90.00°. The inequivalent atoms are K at (0.2500, 0.0000, 0.2318) and Co at (0.2500, 0.5000, 0.5761).

Its size of the total moment is 3.3 μB per cell.


(ii)
A relaxed KCo crystal. Source: OQMD, functional PBE.

It has space group P6_3mc (No. 186), with a = 5.2382 Å, b = 5.2382 Å, c = 8.5727 Å, α = 90.00°, β = 90.00° and γ = 120.00°. The inequivalent atoms are K at (0.3333, 0.6667, 0.0000) and Co at (0.3333, 0.6667, 0.6241).

Its size of the total moment is 4.0 μB per cell.


Which structure is the least stable? The one labeled (ii).